# 1
A plane-wave DFT calculation with GGA-PBE was carried out for a relaxed structure of CsHoNiS3.

a b c (Å): 7.9655 7.9655 10.4354
angles (deg): 90.00 90.00 151.22
Element x y z (fractional)
Cs (0.2418, 0.7582, 0.7500)
Cs (0.7582, 0.2418, 0.2500)
Ho (0.5000, 0.5000, 0.0000)
Ho (0.5000, 0.5000, 0.5000)
Ni (0.0322, 0.9678, 0.2500)
Ni (0.9678, 0.0322, 0.7500)
S (0.1118, 0.8882, 0.0678)
S (0.1118, 0.8882, 0.4322)
S (0.4540, 0.5460, 0.2500)
S (0.5460, 0.4540, 0.7500)
S (0.8882, 0.1118, 0.5678)
S (0.8882, 0.1118, 0.9322)

distance to the lowest polymorph of the same formula = 0.0155 eV per atom
electronic total energy = -62.339 eV for the cell shown
M_tot = 3.89 μB/cell

---

# 2
A plane-wave DFT calculation with GGA-PBE was carried out for a relaxed structure of InIrSe2.

a b c (Å): 3.5231 3.5231 9.2022
angles (deg): 90.00 90.00 120.00
Element x y z (fractional)
In (0.0000, 0.0000, 0.0000)
Ir (0.3333, 0.6667, 0.5000)
Se (0.0000, 0.0000, 0.3371)
Se (0.0000, 0.0000, 0.6629)

electronic total energy = -18.276 eV for the cell shown
M_tot = 0.01 μB/cell

---

Question: Which formula does entry 1 have?
Answer: CsHoNiS3

---

Question: Which formula does entry 1 have?
Answer: CsHoNiS3

---

Question: What is the formula in the first record?
Answer: CsHoNiS3

---

Repeat the first record exactly.
A plane-wave DFT calculation with GGA-PBE was carried out for a relaxed structure of CsHoNiS3.

a b c (Å): 7.9655 7.9655 10.4354
angles (deg): 90.00 90.00 151.22
Element x y z (fractional)
Cs (0.2418, 0.7582, 0.7500)
Cs (0.7582, 0.2418, 0.2500)
Ho (0.5000, 0.5000, 0.0000)
Ho (0.5000, 0.5000, 0.5000)
Ni (0.0322, 0.9678, 0.2500)
Ni (0.9678, 0.0322, 0.7500)
S (0.1118, 0.8882, 0.0678)
S (0.1118, 0.8882, 0.4322)
S (0.4540, 0.5460, 0.2500)
S (0.5460, 0.4540, 0.7500)
S (0.8882, 0.1118, 0.5678)
S (0.8882, 0.1118, 0.9322)

distance to the lowest polymorph of the same formula = 0.0155 eV per atom
electronic total energy = -62.339 eV for the cell shown
M_tot = 3.89 μB/cell